(1)
CaAlGa | GGA-PBE | optimized geometry

Unit cell a=5.9432 b=5.9432 c=5.8768 alpha=90.00 beta=90.00 gamma=139.52
Element x y z (fractional)
Ca 0.1987 0.8013 0.7500
Ca 0.8013 0.1987 0.2500
Al 0.5000 0.5000 0.0000
Al 0.5000 0.5000 0.5000
Ga 0.0943 0.9057 0.2500
Ga 0.9057 0.0943 0.7500

Results
Calculated total energy (eV for the cell shown): -19.6
Space group: Cmcm, No. 63
Calculated formation energy (eV/atom): -0.342

***

(2)
LaSmZn | GGA-PBE | optimized geometry

Unit cell a=5.0782 b=5.0782 c=3.7731 alpha=90.00 beta=90.00 gamma=120.00
Element x y z (fractional)
La 0.0000 0.0000 0.0000
Sm 0.3333 0.6667 0.4174
Zn 0.6667 0.3333 0.6589

Results
Calculated total energy (eV for the cell shown): -11.1
Space group: P3m1, No. 156
Calculated formation energy (eV/atom): -0.065
Offset from the most stable computed form (meV per atom): 132.1

***

(3)
La2NdSm5Th | GGA-PBE | optimized geometry

Unit cell a=10.6218 b=10.6218 c=10.7019 alpha=90.00 beta=90.00 gamma=148.48
Element x y z (fractional)
La 0.1170 0.8830 0.5000
La 0.1171 0.8829 0.9086
La 0.8830 0.1170 0.0000
La 0.8829 0.1171 0.4086
Nd 0.4108 0.5892 0.6316
Nd 0.5892 0.4108 0.1316
Sm 0.0167 0.9833 0.2029
Sm 0.2764 0.7236 0.4950
Sm 0.2962 0.7038 0.8850
Sm 0.3889 0.6111 0.2035
Sm 0.4793 0.5207 0.9186
Sm 0.5207 0.4793 0.4186
Sm 0.6111 0.3889 0.7035
Sm 0.7038 0.2962 0.3850
Sm 0.7236 0.2764 0.9950
Sm 0.9833 0.0167 0.7029
Th 0.2012 0.7988 0.1911
Th 0.7988 0.2012 0.6911

Results
Calculated total energy (eV for the cell shown): -88.6
Space group: Cmc2_1, No. 36
Calculated formation energy (eV/atom): 0.149

***

(4)
Nd2Ho6Er5 | GGA-PBE | optimized geometry

Unit cell a=11.6419 b=20.0722 c=3.5658 alpha=90.00 beta=90.00 gamma=90.00
Element x y z (fractional)
Nd 0.1659 0.2154 0.0000
Nd 0.3341 0.7154 0.0000
Nd 0.6659 0.2846 0.0000
Nd 0.8341 0.7846 0.0000
Ho 0.0586 0.9218 0.0000
Ho 0.0801 0.6341 0.0000
Ho 0.1776 0.3733 0.5000
Ho 0.3224 0.8733 0.5000
Ho 0.4199 0.1341 0.0000
Ho 0.4414 0.4218 0.0000
Ho 0.5586 0.5782 0.0000
Ho 0.5801 0.8659 0.0000
Ho 0.6776 0.1267 0.5000
Ho 0.8224 0.6267 0.5000
Ho 0.9199 0.3659 0.0000
Ho 0.9414 0.0782 0.0000
Er 0.0000 0.5000 0.5000
Er 0.0942 0.7776 0.5000
Er 0.1996 0.0509 0.5000
Er 0.3004 0.5509 0.5000
Er 0.4058 0.2776 0.5000
Er 0.5000 0.0000 0.5000
Er 0.5942 0.7224 0.5000
Er 0.6996 0.4491 0.5000
Er 0.8004 0.9491 0.5000
Er 0.9058 0.2224 0.5000

Results
Calculated total energy (eV for the cell shown): -117.0
Space group: Pbam, No. 55
Calculated formation energy (eV/atom): 0.101

***

(5)
Ca4TlHgPb2 | GGA-PBE | optimized geometry

Unit cell a=9.5504 b=9.5504 c=9.5504 alpha=33.46 beta=33.46 gamma=33.46
Element x y z (fractional)
Ca 0.1230 0.1230 0.1230
Ca 0.3730 0.3730 0.3730
Ca 0.6270 0.6270 0.6270
Ca 0.8770 0.8770 0.8770
Tl 0.5000 0.5000 0.5000
Hg 0.0000 0.0000 0.0000
Pb 0.2488 0.2488 0.2488
Pb 0.7512 0.7512 0.7512

Results
Calculated total energy (eV for the cell shown): -22.4
Space group: R-3m, No. 166
Calculated formation energy (eV/atom): -0.536

***

(6)
CeHoRuBr | GGA-PBE | optimized geometry

Unit cell a=8.1468 b=8.1468 c=8.1468 alpha=28.01 beta=28.01 gamma=28.01
Element x y z (fractional)
Ce 0.0000 0.0000 0.0000
Ho 0.2040 0.2040 0.2040
Ru 0.6085 0.6085 0.6085
Br 0.4388 0.4388 0.4388

Results
Calculated total energy (eV for the cell shown): -24.7
Space group: R3m, No. 160
Formation energy (no corrections) (eV/atom): -0.810

***

(7)
LiH3Pt | GGA-PBE | optimized geometry

Unit cell a=5.1269 b=5.1269 c=5.1757 alpha=97.10 beta=97.10 gamma=39.68
Element x y z (fractional)
Li 0.1238 0.1238 0.3530
Li 0.8762 0.8762 0.6470
H 0.1182 0.1182 0.8340
H 0.3231 0.3231 0.4207
H 0.4355 0.4355 0.8204
H 0.5645 0.5645 0.1796
H 0.6769 0.6769 0.5793
H 0.8818 0.8818 0.1660
Pt 0.3726 0.3726 0.1261
Pt 0.6274 0.6274 0.8739

Results
Calculated total energy (eV for the cell shown): -38.7
Space group: C2/m, No. 12

***

(8)
CaAgAs | GGA-PBE | optimized geometry

Unit cell a=7.2839 b=4.3171 c=12.5076 alpha=90.00 beta=90.30 gamma=90.00
Element x y z (fractional)
Ca 0.0342 0.2500 0.1225
Ca 0.1627 0.2500 0.4176
Ca 0.4641 0.7500 0.7915
Ca 0.5359 0.2500 0.2085
Ca 0.8373 0.7500 0.5824
Ca 0.9658 0.7500 0.8775
Ag 0.1338 0.2500 0.7064
Ag 0.3631 0.7500 0.0412
Ag 0.4989 0.7500 0.4117
Ag 0.5011 0.2500 0.5883
Ag 0.6369 0.2500 0.9588
Ag 0.8662 0.7500 0.2936
As 0.2419 0.7500 0.2498
As 0.2474 0.7500 0.5850
As 0.2501 0.2500 0.9183
As 0.7499 0.7500 0.0817
As 0.7526 0.2500 0.4150
As 0.7581 0.2500 0.7502

Results
Calculated total energy (eV for the cell shown): -71.0
Space group: P2_1/m, No. 11
Calculated formation energy (eV/atom): -0.778